Ca2BiAu3: relaxed, PBE.

Geometry as CIF:
```
data_Ca2BiAu3
_space_group_name_H-M_alt 'P 1'
_space_group_IT_number 1
_cell_length_a 3.5689
_cell_length_b 4.7516
_cell_length_c 8.7608
_cell_angle_alpha 90.00
_cell_angle_beta 90.00
_cell_angle_gamma 90.00
loop_
_space_group_symop_operation_xyz
'x,y,z'
loop_
_atom_site_label
_atom_site_type_symbol
_atom_site_fract_x
_atom_site_fract_y
_atom_site_fract_z
_atom_site_occupancy
Ca1 Ca 0.0000 0.0000 0.0000 1
Ca2 Ca 0.0000 0.5000 0.4355 1
Bi1 Bi 0.5000 0.5000 0.7932 1
Au1 Au 0.5000 0.0000 0.2965 1
Au2 Au 0.5000 0.0000 0.6108 1
Au3 Au 0.5000 0.5000 0.1296 1
```

Computed properties:
total moment	0.0	μB/cell
ΔH_f (0 K)	-673	meV/atom
distance to the lowest polymorph of the same formula	0	meV per atom
DOS(E_F)	2.17	states/eV per cell
SG	Pmm2
VASP energy	-3.626	eV per atom


CrMo3: relaxed, PBE.

Geometry as CIF:
```
data_CrMo3
_space_group_name_H-M_alt 'P 1'
_space_group_IT_number 1
_cell_length_a 8.3522
_cell_length_b 8.3522
_cell_length_c 8.3522
_cell_angle_alpha 20.23
_cell_angle_beta 20.23
_cell_angle_gamma 20.23
loop_
_space_group_symop_operation_xyz
'x,y,z'
loop_
_atom_site_label
_atom_site_type_symbol
_atom_site_fract_x
_atom_site_fract_y
_atom_site_fract_z
_atom_site_occupancy
Cr1 Cr 0.0000 0.0000 0.0000 1
Mo1 Mo 0.2551 0.2551 0.2551 1
Mo2 Mo 0.5000 0.5000 0.5000 1
Mo3 Mo 0.7449 0.7449 0.7449 1
```

Computed properties:
total moment	0.0	μB/cell
ΔH_f (0 K)	381	meV/atom
DOS(E_F)	3.44	states/eV per cell
SG	R-3m
VASP energy	-10.149	eV per atom


LiLaCrFe2: relaxed, PBE.

Geometry as CIF:
```
data_LiLaCrFe2
_space_group_name_H-M_alt 'P 1'
_space_group_IT_number 1
_cell_length_a 4.6618
_cell_length_b 4.6618
_cell_length_c 4.6299
_cell_angle_alpha 90.00
_cell_angle_beta 90.00
_cell_angle_gamma 90.00
loop_
_space_group_symop_operation_xyz
'x,y,z'
loop_
_atom_site_label
_atom_site_type_symbol
_atom_site_fract_x
_atom_site_fract_y
_atom_site_fract_z
_atom_site_occupancy
Li1 Li 0.0000 0.0000 0.0000 1
La1 La 0.5000 0.5000 0.5000 1
Cr1 Cr 0.5000 0.5000 0.0000 1
Fe1 Fe 0.0000 0.5000 0.5000 1
Fe2 Fe 0.5000 0.0000 0.5000 1
```

Computed properties:
total moment	6.1	μB/cell
ΔH_f (0 K)	1617	meV/atom
DOS(E_F)	4.78	states/eV per cell
SG	P4/mmm
VASP energy	-5.061	eV per atom


CsTaSbH2: relaxed, PBE.

Geometry as CIF:
```
data_CsTaSbH2
_space_group_name_H-M_alt 'P 1'
_space_group_IT_number 1
_cell_length_a 4.1800
_cell_length_b 4.1800
_cell_length_c 7.7155
_cell_angle_alpha 90.00
_cell_angle_beta 90.00
_cell_angle_gamma 90.00
loop_
_space_group_symop_operation_xyz
'x,y,z'
loop_
_atom_site_label
_atom_site_type_symbol
_atom_site_fract_x
_atom_site_fract_y
_atom_site_fract_z
_atom_site_occupancy
Cs1 Cs 0.0000 0.0000 0.0000 1
Ta1 Ta 0.0000 0.0000 0.5000 1
Sb1 Sb 0.5000 0.5000 0.5000 1
H1 H 0.0000 0.5000 0.0000 1
H2 H 0.5000 0.0000 0.0000 1
```

Computed properties:
total moment	2.3	μB/cell
DOS(E_F)	3.05	states/eV per cell
SG	P4/mmm
VASP energy	-3.336	eV per atom


YTa2IrAu: relaxed, PBE.

Geometry as CIF:
```
data_YTa2IrAu
_space_group_name_H-M_alt 'P 1'
_space_group_IT_number 1
_cell_length_a 4.8378
_cell_length_b 4.8378
_cell_length_c 5.3589
_cell_angle_alpha 90.00
_cell_angle_beta 90.00
_cell_angle_gamma 90.00
loop_
_space_group_symop_operation_xyz
'x,y,z'
loop_
_atom_site_label
_atom_site_type_symbol
_atom_site_fract_x
_atom_site_fract_y
_atom_site_fract_z
_atom_site_occupancy
Y1 Y 0.0000 0.0000 0.0000 1
Ta1 Ta 0.0000 0.5000 0.5000 1
Ta2 Ta 0.5000 0.0000 0.5000 1
Ir1 Ir 0.0000 0.0000 0.5000 1
Au1 Au 0.5000 0.5000 0.0000 1
```

Computed properties:
total moment	0.0	μB/cell
ΔH_f (0 K)	593	meV/atom
DOS(E_F)	7.40	states/eV per cell
SG	P4/mmm
VASP energy	-7.868	eV per atom


CrGaAs: relaxed, PBE.

Geometry as CIF:
```
data_CrGaAs
_space_group_name_H-M_alt 'P 1'
_space_group_IT_number 1
_cell_length_a 6.9302
_cell_length_b 6.9302
_cell_length_c 4.4627
_cell_angle_alpha 90.00
_cell_angle_beta 90.00
_cell_angle_gamma 153.58
loop_
_space_group_symop_operation_xyz
'x,y,z'
loop_
_atom_site_label
_atom_site_type_symbol
_atom_site_fract_x
_atom_site_fract_y
_atom_site_fract_z
_atom_site_occupancy
Cr1 Cr 0.2179 0.7821 0.7500 1
Cr2 Cr 0.7821 0.2179 0.2500 1
Ga1 Ga 0.4380 0.5620 0.2500 1
Ga2 Ga 0.5620 0.4380 0.7500 1
As1 As 0.1458 0.8542 0.2500 1
As2 As 0.8542 0.1458 0.7500 1
```

Computed properties:
total moment	0.0	μB/cell
ΔH_f (0 K)	-3	meV/atom
distance to the lowest polymorph of the same formula	115	meV per atom
DOS(E_F)	4.50	states/eV per cell
SG	Cmcm
VASP energy	-5.770	eV per atom


LaGaPt3: relaxed, PBE.

Geometry as CIF:
```
data_LaGaPt3
_space_group_name_H-M_alt 'P 1'
_space_group_IT_number 1
_cell_length_a 6.2973
_cell_length_b 6.3749
_cell_length_c 5.3263
_cell_angle_alpha 90.00
_cell_angle_beta 90.00
_cell_angle_gamma 90.00
loop_
_space_group_symop_operation_xyz
'x,y,z'
loop_
_atom_site_label
_atom_site_type_symbol
_atom_site_fract_x
_atom_site_fract_y
_atom_site_fract_z
_atom_site_occupancy
La1 La 0.0000 0.0000 0.0000 1
La2 La 0.5000 0.5000 0.0000 1
Ga1 Ga 0.0000 0.5000 0.5000 1
Ga2 Ga 0.5000 0.0000 0.5000 1
Pt1 Pt 0.0000 0.5000 0.0000 1
Pt2 Pt 0.1474 0.1501 0.5000 1
Pt3 Pt 0.3526 0.6501 0.5000 1
Pt4 Pt 0.5000 0.0000 0.0000 1
Pt5 Pt 0.6474 0.3499 0.5000 1
Pt6 Pt 0.8526 0.8499 0.5000 1
```

Computed properties:
total moment	0.0	μB/cell
ΔH_f (0 K)	-670	meV/atom
distance to the lowest polymorph of the same formula	192	meV per atom
DOS(E_F)	2.72	states/eV per cell
SG	Pbam
VASP energy	-5.885	eV per atom


CaTeAs2: relaxed, PBE.

Geometry as CIF:
```
data_CaTeAs2
_space_group_name_H-M_alt 'P 1'
_space_group_IT_number 1
_cell_length_a 5.1964
_cell_length_b 5.1964
_cell_length_c 5.1964
_cell_angle_alpha 60.00
_cell_angle_beta 60.00
_cell_angle_gamma 60.00
loop_
_space_group_symop_operation_xyz
'x,y,z'
loop_
_atom_site_label
_atom_site_type_symbol
_atom_site_fract_x
_atom_site_fract_y
_atom_site_fract_z
_atom_site_occupancy
Ca1 Ca 0.0000 0.0000 0.0000 1
Te1 Te 0.7500 0.7500 0.7500 1
As1 As 0.2500 0.2500 0.2500 1
As2 As 0.5000 0.5000 0.5000 1
```

Computed properties:
total moment	0.0	μB/cell
DOS(E_F)	2.02	states/eV per cell
SG	F-43m
VASP energy	-3.773	eV per atom
ΔE_f (raw)	-0.162	eV per atom


Nd4CdNi2: relaxed, PBE.

Geometry as CIF:
```
data_Nd4CdNi2
_space_group_name_H-M_alt 'P 1'
_space_group_IT_number 1
_cell_length_a 9.6571
_cell_length_b 9.6571
_cell_length_c 9.6571
_cell_angle_alpha 29.24
_cell_angle_beta 29.24
_cell_angle_gamma 29.24
loop_
_space_group_symop_operation_xyz
'x,y,z'
loop_
_atom_site_label
_atom_site_type_symbol
_atom_site_fract_x
_atom_site_fract_y
_atom_site_fract_z
_atom_site_occupancy
Nd1 Nd 0.1121 0.1121 0.1121 1
Nd2 Nd 0.2964 0.2964 0.2964 1
Nd3 Nd 0.7036 0.7036 0.7036 1
Nd4 Nd 0.8879 0.8879 0.8879 1
Cd1 Cd 0.5000 0.5000 0.5000 1
Ni1 Ni 0.4014 0.4014 0.4014 1
Ni2 Ni 0.5986 0.5986 0.5986 1
```

Computed properties:
total moment	0.0	μB/cell
ΔH_f (0 K)	-116	meV/atom
DOS(E_F)	7.26	states/eV per cell
SG	R-3m
VASP energy	-4.623	eV per atom


AcCuBr6: relaxed, PBE.

Geometry as CIF:
```
data_AcCuBr6
_space_group_name_H-M_alt 'P 1'
_space_group_IT_number 1
_cell_length_a 6.8007
_cell_length_b 6.8036
_cell_length_c 7.5796
_cell_angle_alpha 90.04
_cell_angle_beta 116.64
_cell_angle_gamma 119.95
loop_
_space_group_symop_operation_xyz
'x,y,z'
loop_
_atom_site_label
_atom_site_type_symbol
_atom_site_fract_x
_atom_site_fract_y
_atom_site_fract_z
_atom_site_occupancy
Ac1 Ac 0.0000 0.0000 0.0000 1
Cu1 Cu 0.0000 0.5000 0.5000 1
Br1 Br 0.1688 0.4550 0.2717 1
Br2 Br 0.1832 0.2860 0.7283 1
Br3 Br 0.4419 0.8969 0.7284 1
Br4 Br 0.5581 0.1031 0.2716 1
Br5 Br 0.8168 0.7140 0.2717 1
Br6 Br 0.8312 0.5450 0.7283 1
```

Computed properties:
total moment	2.1	μB/cell
DOS(E_F)	8.96	states/eV per cell
SG	P-1
VASP energy	-3.220	eV per atom
ΔE_f (raw)	-0.939	eV per atom


HoPuBi: relaxed, PBE.

Geometry as CIF:
```
data_HoPuBi
_space_group_name_H-M_alt 'P 1'
_space_group_IT_number 1
_cell_length_a 5.3088
_cell_length_b 5.3088
_cell_length_c 3.6681
_cell_angle_alpha 90.00
_cell_angle_beta 90.00
_cell_angle_gamma 120.00
loop_
_space_group_symop_operation_xyz
'x,y,z'
loop_
_atom_site_label
_atom_site_type_symbol
_atom_site_fract_x
_atom_site_fract_y
_atom_site_fract_z
_atom_site_occupancy
Ho1 Ho 0.0000 0.0000 0.0000 1
Pu1 Pu 0.6667 0.3333 0.5555 1
Bi1 Bi 0.3333 0.6667 0.2142 1
```

Computed properties:
total moment	6.5	μB/cell
ΔH_f (0 K)	-128	meV/atom
DOS(E_F)	8.30	states/eV per cell
SG	P3m1
VASP energy	-7.725	eV per atom


Ba4LiTl2: relaxed, PBE.

Geometry as CIF:
```
data_Ba4LiTl2
_space_group_name_H-M_alt 'P 1'
_space_group_IT_number 1
_cell_length_a 10.4292
_cell_length_b 10.4292
_cell_length_c 10.4292
_cell_angle_alpha 33.71
_cell_angle_beta 33.71
_cell_angle_gamma 33.71
loop_
_space_group_symop_operation_xyz
'x,y,z'
loop_
_atom_site_label
_atom_site_type_symbol
_atom_site_fract_x
_atom_site_fract_y
_atom_site_fract_z
_atom_site_occupancy
Ba1 Ba 0.1221 0.1221 0.1221 1
Ba2 Ba 0.3734 0.3734 0.3734 1
Ba3 Ba 0.6266 0.6266 0.6266 1
Ba4 Ba 0.8779 0.8779 0.8779 1
Li1 Li 0.5000 0.5000 0.5000 1
Tl1 Tl 0.2463 0.2463 0.2463 1
Tl2 Tl 0.7537 0.7537 0.7537 1
```

Computed properties:
total moment	0.0	μB/cell
ΔH_f (0 K)	-212	meV/atom
distance to the lowest polymorph of the same formula	0	meV per atom
DOS(E_F)	8.87	states/eV per cell
SG	R-3m
VASP energy	-2.261	eV per atom


Mg3W2: relaxed, PBE.

Geometry as CIF:
```
data_Mg3W2
_space_group_name_H-M_alt 'P 1'
_space_group_IT_number 1
_cell_length_a 12.4719
_cell_length_b 12.4719
_cell_length_c 12.4719
_cell_angle_alpha 13.37
_cell_angle_beta 13.37
_cell_angle_gamma 13.37
loop_
_space_group_symop_operation_xyz
'x,y,z'
loop_
_atom_site_label
_atom_site_type_symbol
_atom_site_fract_x
_atom_site_fract_y
_atom_site_fract_z
_atom_site_occupancy
Mg1 Mg 0.0000 0.0000 0.0000 1
Mg2 Mg 0.2028 0.2028 0.2028 1
Mg3 Mg 0.7972 0.7972 0.7972 1
W1 W 0.3993 0.3993 0.3993 1
W2 W 0.6007 0.6007 0.6007 1
```

Computed properties:
total moment	0.0	μB/cell
ΔH_f (0 K)	475	meV/atom
distance to the lowest polymorph of the same formula	0	meV per atom
DOS(E_F)	4.96	states/eV per cell
SG	R-3m
VASP energy	-5.663	eV per atom


CaTe2P: relaxed, PBE.

Geometry as CIF:
```
data_CaTe2P
_space_group_name_H-M_alt 'P 1'
_space_group_IT_number 1
_cell_length_a 5.9602
_cell_length_b 5.9602
_cell_length_c 5.9602
_cell_angle_alpha 138.25
_cell_angle_beta 129.09
_cell_angle_gamma 67.88
loop_
_space_group_symop_operation_xyz
'x,y,z'
loop_
_atom_site_label
_atom_site_type_symbol
_atom_site_fract_x
_atom_site_fract_y
_atom_site_fract_z
_atom_site_occupancy
Ca1 Ca 0.0000 0.0000 0.0000 1
Te1 Te 0.2708 0.7708 0.5000 1
Te2 Te 0.5060 0.5060 0.0000 1
P1 P 0.6797 0.1797 0.5000 1
```

Computed properties:
total moment	0.0	μB/cell
DOS(E_F)	2.32	states/eV per cell
SG	Imm2
VASP energy	-3.781	eV per atom
ΔE_f (raw)	-0.358	eV per atom


K2Cr2GeSe6: relaxed, PBE.

Geometry as CIF:
```
data_K2Cr2GeSe6
_space_group_name_H-M_alt 'P 1'
_space_group_IT_number 1
_cell_length_a 6.5154
_cell_length_b 6.5154
_cell_length_c 8.0886
_cell_angle_alpha 97.67
_cell_angle_beta 97.67
_cell_angle_gamma 120.42
loop_
_space_group_symop_operation_xyz
'x,y,z'
loop_
_atom_site_label
_atom_site_type_symbol
_atom_site_fract_x
_atom_site_fract_y
_atom_site_fract_z
_atom_site_occupancy
K1 K 0.1658 0.8342 0.0000 1
K2 K 0.8342 0.1658 0.0000 1
Cr1 Cr 0.3320 0.6680 0.5000 1
Cr2 Cr 0.6680 0.3320 0.5000 1
Ge1 Ge 0.0000 0.0000 0.5000 1
Se1 Se 0.0609 0.3981 0.6782 1
Se2 Se 0.2784 0.2784 0.3228 1
Se3 Se 0.3981 0.0609 0.6782 1
Se4 Se 0.6019 0.9391 0.3218 1
Se5 Se 0.7216 0.7216 0.6772 1
Se6 Se 0.9391 0.6019 0.3218 1
```

Computed properties:
total moment	6.0	μB/cell
DOS(E_F)	1.97	states/eV per cell
SG	C2/m
VASP energy	-4.963	eV per atom
ΔE_f (raw)	-0.693	eV per atom


Ce2InCoPb: relaxed, PBE.

Geometry as CIF:
```
data_Ce2InCoPb
_space_group_name_H-M_alt 'P 1'
_space_group_IT_number 1
_cell_length_a 5.0725
_cell_length_b 5.0725
_cell_length_c 5.0005
_cell_angle_alpha 90.00
_cell_angle_beta 90.00
_cell_angle_gamma 90.00
loop_
_space_group_symop_operation_xyz
'x,y,z'
loop_
_atom_site_label
_atom_site_type_symbol
_atom_site_fract_x
_atom_site_fract_y
_atom_site_fract_z
_atom_site_occupancy
Ce1 Ce 0.0000 0.5000 0.0000 1
Ce2 Ce 0.5000 0.0000 0.0000 1
In1 In 0.0000 0.0000 0.5000 1
Co1 Co 0.0000 0.0000 0.0000 1
Pb1 Pb 0.5000 0.5000 0.5000 1
```

Computed properties:
total moment	1.2	μB/cell
ΔH_f (0 K)	-388	meV/atom
DOS(E_F)	10.00	states/eV per cell
SG	P4/mmm
VASP energy	-5.472	eV per atom


RbPS2: relaxed, PBE.

Geometry as CIF:
```
data_RbPS2
_space_group_name_H-M_alt 'P 1'
_space_group_IT_number 1
_cell_length_a 8.9733
_cell_length_b 8.9733
_cell_length_c 8.9733
_cell_angle_alpha 23.61
_cell_angle_beta 23.61
_cell_angle_gamma 23.61
loop_
_space_group_symop_operation_xyz
'x,y,z'
loop_
_atom_site_label
_atom_site_type_symbol
_atom_site_fract_x
_atom_site_fract_y
_atom_site_fract_z
_atom_site_occupancy
Rb1 Rb 0.0000 0.0000 0.0000 1
P1 P 0.5000 0.5000 0.5000 1
S1 S 0.1162 0.1162 0.1162 1
S2 S 0.8838 0.8838 0.8838 1
```

Computed properties:
total moment	0.0	μB/cell
DOS(E_F)	1.30	states/eV per cell
SG	R-3m
VASP energy	-3.711	eV per atom
ΔE_f (raw)	-0.053	eV per atom


BeOsS2N: relaxed, PBE.

Geometry as CIF:
```
data_BeOsS2N
_space_group_name_H-M_alt 'P 1'
_space_group_IT_number 1
_cell_length_a 4.7985
_cell_length_b 4.7985
_cell_length_c 3.6511
_cell_angle_alpha 90.00
_cell_angle_beta 90.00
_cell_angle_gamma 90.00
loop_
_space_group_symop_operation_xyz
'x,y,z'
loop_
_atom_site_label
_atom_site_type_symbol
_atom_site_fract_x
_atom_site_fract_y
_atom_site_fract_z
_atom_site_occupancy
Be1 Be 0.0000 0.0000 0.0000 1
Os1 Os 0.5000 0.5000 0.5000 1
S1 S 0.0000 0.5000 0.5000 1
S2 S 0.5000 0.0000 0.5000 1
N1 N 0.5000 0.5000 0.0000 1
```

Computed properties:
total moment	0.0	μB/cell
distance to the lowest polymorph of the same formula	0	meV per atom
DOS(E_F)	4.70	states/eV per cell
SG	P4/mmm
VASP energy	-5.525	eV per atom
ΔE_f (raw)	0.782	eV per atom


AcSmDySc: relaxed, PBE.

Geometry as CIF:
```
data_AcSmDySc
_space_group_name_H-M_alt 'P 1'
_space_group_IT_number 1
_cell_length_a 5.7380
_cell_length_b 5.7380
_cell_length_c 5.7380
_cell_angle_alpha 60.00
_cell_angle_beta 60.00
_cell_angle_gamma 60.00
loop_
_space_group_symop_operation_xyz
'x,y,z'
loop_
_atom_site_label
_atom_site_type_symbol
_atom_site_fract_x
_atom_site_fract_y
_atom_site_fract_z
_atom_site_occupancy
Ac1 Ac 0.0000 0.0000 0.0000 1
Sm1 Sm 0.5000 0.5000 0.5000 1
Dy1 Dy 0.2500 0.2500 0.2500 1
Sc1 Sc 0.7500 0.7500 0.7500 1
```

Computed properties:
total moment	0.0	μB/cell
ΔH_f (0 K)	119	meV/atom
DOS(E_F)	6.48	states/eV per cell
SG	F-43m
VASP energy	-4.821	eV per atom


EuYHgGe: relaxed, PBE.

Geometry as CIF:
```
data_EuYHgGe
_space_group_name_H-M_alt 'P 1'
_space_group_IT_number 1
_cell_length_a 5.2661
_cell_length_b 5.2661
_cell_length_c 5.2661
_cell_angle_alpha 60.00
_cell_angle_beta 60.00
_cell_angle_gamma 60.00
loop_
_space_group_symop_operation_xyz
'x,y,z'
loop_
_atom_site_label
_atom_site_type_symbol
_atom_site_fract_x
_atom_site_fract_y
_atom_site_fract_z
_atom_site_occupancy
Eu1 Eu 0.0000 0.0000 0.0000 1
Y1 Y 0.5000 0.5000 0.5000 1
Hg1 Hg 0.2500 0.2500 0.2500 1
Ge1 Ge 0.7500 0.7500 0.7500 1
```

Computed properties:
total moment	7.5	μB/cell
ΔH_f (0 K)	-557	meV/atom
DOS(E_F)	3.08	states/eV per cell
SG	F-43m
VASP energy	-5.972	eV per atom